No. 1
DFT (PBE-GGA) results for a geometry-optimized HfSnAs2Se structure.

The energy above the most stable polymorph in this dataset is 0.00 eV per formula unit. The volume comes out at 27.59 A^3/atom. Its formation energy (no corrections) is -0.0656 eV per atom.

It has space group P4/mmm (No. 123), with a = 5.192 Å, b = 5.192 Å, c = 5.117 Å, α = 90.00°, β = 90.00° and γ = 90.00°. Symmetry generates all atoms from Hf at (0.000, 0.000, 0.000), Sn at (0.500, 0.500, 0.500), As at (0.000, 0.500, 0.000) and Se at (0.000, 0.000, 0.500).

No. 2
DFT (PBE-GGA) results for a geometry-optimized AgSbI6 structure.

The volume comes out at 48.98 A^3/atom. Its formation energy (no corrections) is -0.1376 eV per atom.

It has space group P-1 (No. 2), with a = 7.020 Å, b = 7.907 Å, c = 8.118 Å, α = 92.31°, β = 103.06° and γ = 115.34°. Symmetry generates all atoms from Ag at (0.000, 0.000, 0.000), Sb at (0.500, 0.000, 0.500), I at (0.074, 0.773, 0.217), I at (0.240, 0.875, 0.761) and I at (0.422, 0.607, 0.597).

No. 3
DFT (PBE-GGA) results for a geometry-optimized SrAs2SeBr structure.

The energy above the most stable polymorph in this dataset is 3.83 eV per formula unit. The volume comes out at 42.86 A^3/atom. Its formation energy (no corrections) is 0.6035 eV per atom.

It has space group P4/mmm (No. 123), with a = 6.176 Å, b = 6.176 Å, c = 5.618 Å, α = 90.00°, β = 90.00° and γ = 90.00°. Symmetry generates all atoms from Sr at (0.000, 0.000, 0.000), As at (0.000, 0.500, 0.000), Se at (0.500, 0.500, 0.500) and Br at (0.000, 0.000, 0.500).